Entry 1:
ErLuPu2 | PBE-GGA | optimized geometry

CIF file:
```
data_ErLuPu2
_chemical_formula_sum 'Er1 Lu1 Pu2'
_cell_length_a 3.369
_cell_length_b 3.369
_cell_length_c 10.009
_cell_angle_alpha 90.00
_cell_angle_beta 90.00
_cell_angle_gamma 90.00
_symmetry_space_group_name_H-M 'P 4/m m m'
_symmetry_Int_Tables_number 123
_symmetry_space_group_name_Hall '-P 4 2'
loop_
_atom_site_label
_atom_site_type_symbol
_atom_site_fract_x
_atom_site_fract_y
_atom_site_fract_z
Er1 Er 0.000 0.000 0.000
Lu1 Lu 0.000 0.000 0.500
Pu1 Pu 0.500 0.500 0.252
```

* relative energy among the computed polymorphs: 0 kJ/mol of formula units

=====

Entry 2:
Er2LuPu | PBE-GGA | optimized geometry

CIF file:
```
data_Er2LuPu
_chemical_formula_sum 'Er6 Lu3 Pu3'
_cell_length_a 4.9765
_cell_length_b 4.9765
_cell_length_c 25.8533
_cell_angle_alpha 90.00
_cell_angle_beta 90.00
_cell_angle_gamma 120.00
_symmetry_space_group_name_H-M 'R -3 m'
_symmetry_Int_Tables_number 166
_symmetry_space_group_name_Hall '-R 3 2"'
loop_
_atom_site_label
_atom_site_type_symbol
_atom_site_fract_x
_atom_site_fract_y
_atom_site_fract_z
Er1 Er 0.0000 0.0000 0.1244
Lu1 Lu 0.0000 0.0000 0.5000
Pu1 Pu 0.0000 0.0000 0.0000
```

* relative energy among the computed polymorphs: 545 kJ/mol of formula units

=====

Entry 3:
ErLuPu2 | PBE-GGA | optimized geometry

CIF file:
```
data_ErLuPu2
_chemical_formula_sum 'Er3 Lu3 Pu6'
_cell_length_a 3.3945
_cell_length_b 3.3945
_cell_length_c 33.9141
_cell_angle_alpha 90.00
_cell_angle_beta 90.00
_cell_angle_gamma 120.00
_symmetry_space_group_name_H-M 'R -3 m'
_symmetry_Int_Tables_number 166
_symmetry_space_group_name_Hall '-R 3 2"'
loop_
_atom_site_label
_atom_site_type_symbol
_atom_site_fract_x
_atom_site_fract_y
_atom_site_fract_z
Er1 Er 0.0000 0.0000 0.0000
Lu1 Lu 0.0000 0.0000 0.5000
Pu1 Pu 0.0000 0.0000 0.2495
```

* relative energy among the computed polymorphs: 3 kJ/mol of formula units

=====

Entry 4:
ErLuPu | PBE-GGA | optimized geometry

CIF file:
```
data_ErLuPu
_chemical_formula_sum 'Er2 Lu2 Pu2'
_cell_length_a 3.448
_cell_length_b 3.448
_cell_length_c 14.616
_cell_angle_alpha 90.00
_cell_angle_beta 90.00
_cell_angle_gamma 90.00
_symmetry_space_group_name_H-M 'I 4 m m'
_symmetry_Int_Tables_number 107
_symmetry_space_group_name_Hall 'I 4 -2'
loop_
_atom_site_label
_atom_site_type_symbol
_atom_site_fract_x
_atom_site_fract_y
_atom_site_fract_z
Er1 Er 0.000 0.000 0.000
Lu1 Lu 0.000 0.000 0.329
Pu1 Pu 0.000 0.000 0.666
```

* relative energy among the computed polymorphs: 0 kJ/mol of formula units

=====

Entry 5:
SmErLuPu | PBE-GGA | optimized geometry

CIF file:
```
data_SmErLuPu
_chemical_formula_sum 'Sm4 Er4 Lu4 Pu4'
_cell_length_a 7.875
_cell_length_b 7.875
_cell_length_c 7.875
_cell_angle_alpha 90.00
_cell_angle_beta 90.00
_cell_angle_gamma 90.00
_symmetry_space_group_name_H-M 'F -4 3 m'
_symmetry_Int_Tables_number 216
_symmetry_space_group_name_Hall 'F -4 2 3'
loop_
_atom_site_label
_atom_site_type_symbol
_atom_site_fract_x
_atom_site_fract_y
_atom_site_fract_z
Sm1 Sm 0.000 0.000 0.000
Er1 Er 0.250 0.250 0.750
Lu1 Lu 0.250 0.250 0.250
Pu1 Pu 0.000 0.000 0.500
```

=====

Entry 6:
ErLuPuSn | PBE-GGA | optimized geometry

CIF file:
```
data_ErLuPuSn
_chemical_formula_sum 'Er4 Lu4 Pu4 Sn4'
_cell_length_a 7.559
_cell_length_b 7.559
_cell_length_c 7.559
_cell_angle_alpha 90.00
_cell_angle_beta 90.00
_cell_angle_gamma 90.00
_symmetry_space_group_name_H-M 'F -4 3 m'
_symmetry_Int_Tables_number 216
_symmetry_space_group_name_Hall 'F -4 2 3'
loop_
_atom_site_label
_atom_site_type_symbol
_atom_site_fract_x
_atom_site_fract_y
_atom_site_fract_z
Er1 Er 0.000 0.000 0.000
Lu1 Lu 0.250 0.250 0.250
Pu1 Pu 0.000 0.000 0.500
Sn1 Sn 0.250 0.250 0.750
```

=====

Entry 7:
TbErLuPu | PBE-GGA | optimized geometry

CIF file:
```
data_TbErLuPu
_chemical_formula_sum 'Tb4 Er4 Lu4 Pu4'
_cell_length_a 7.827
_cell_length_b 7.827
_cell_length_c 7.827
_cell_angle_alpha 90.00
_cell_angle_beta 90.00
_cell_angle_gamma 90.00
_symmetry_space_group_name_H-M 'F -4 3 m'
_symmetry_Int_Tables_number 216
_symmetry_space_group_name_Hall 'F -4 2 3'
loop_
_atom_site_label
_atom_site_type_symbol
_atom_site_fract_x
_atom_site_fract_y
_atom_site_fract_z
Tb1 Tb 0.000 0.000 0.000
Er1 Er 0.250 0.250 0.250
Lu1 Lu 0.250 0.250 0.750
Pu1 Pu 0.000 0.000 0.500
```

=====

Entry 8:
ErTmLuPu | PBE-GGA | optimized geometry

CIF file:
```
data_ErTmLuPu
_chemical_formula_sum 'Er4 Tm4 Lu4 Pu4'
_cell_length_a 7.779
_cell_length_b 7.779
_cell_length_c 7.779
_cell_angle_alpha 90.00
_cell_angle_beta 90.00
_cell_angle_gamma 90.00
_symmetry_space_group_name_H-M 'F -4 3 m'
_symmetry_Int_Tables_number 216
_symmetry_space_group_name_Hall 'F -4 2 3'
loop_
_atom_site_label
_atom_site_type_symbol
_atom_site_fract_x
_atom_site_fract_y
_atom_site_fract_z
Er1 Er 0.000 0.000 0.000
Tm1 Tm 0.000 0.000 0.500
Lu1 Lu 0.250 0.250 0.250
Pu1 Pu 0.250 0.250 0.750
```

=====

Entry 9:
RbEr2Lu | PBE-GGA | optimized geometry

CIF file:
```
data_RbEr2Lu
_chemical_formula_sum 'Rb3 Er6 Lu3'
_cell_length_a 3.5632
_cell_length_b 3.5632
_cell_length_c 39.1725
_cell_angle_alpha 90.00
_cell_angle_beta 90.00
_cell_angle_gamma 120.00
_symmetry_space_group_name_H-M 'R -3 m'
_symmetry_Int_Tables_number 166
_symmetry_space_group_name_Hall '-R 3 2"'
loop_
_atom_site_label
_atom_site_type_symbol
_atom_site_fract_x
_atom_site_fract_y
_atom_site_fract_z
Rb1 Rb 0.0000 0.0000 0.0000
Er1 Er 0.0000 0.0000 0.0968
Lu1 Lu 0.0000 0.0000 0.5000
```

=====

Entry 10:
ErLu2Re | PBE-GGA | optimized geometry

CIF file:
```
data_ErLu2Re
_chemical_formula_sum 'Er3 Lu6 Re3'
_cell_length_a 3.1669
_cell_length_b 3.1669
_cell_length_c 33.3410
_cell_angle_alpha 90.00
_cell_angle_beta 90.00
_cell_angle_gamma 120.00
_symmetry_space_group_name_H-M 'R -3 m'
_symmetry_Int_Tables_number 166
_symmetry_space_group_name_Hall '-R 3 2"'
loop_
_atom_site_label
_atom_site_type_symbol
_atom_site_fract_x
_atom_site_fract_y
_atom_site_fract_z
Er1 Er 0.0000 0.0000 0.0000
Lu1 Lu 0.0000 0.0000 0.4199
Re1 Re 0.0000 0.0000 0.5000
```

=====

Entry 11:
ErLuRe4 | PBE-GGA | optimized geometry

CIF file:
```
data_ErLuRe4
_chemical_formula_sum 'Er4 Lu4 Re16'
_cell_length_a 7.611
_cell_length_b 7.611
_cell_length_c 7.611
_cell_angle_alpha 90.00
_cell_angle_beta 90.00
_cell_angle_gamma 90.00
_symmetry_space_group_name_H-M 'F -4 3 m'
_symmetry_Int_Tables_number 216
_symmetry_space_group_name_Hall 'F -4 2 3'
loop_
_atom_site_label
_atom_site_type_symbol
_atom_site_fract_x
_atom_site_fract_y
_atom_site_fract_z
Er1 Er 0.000 0.000 0.000
Lu1 Lu 0.250 0.250 0.250
Re1 Re 0.125 0.125 0.625
```

=====

Entry 12:
ErLuZnRe | PBE-GGA | optimized geometry

CIF file:
```
data_ErLuZnRe
_chemical_formula_sum 'Er4 Lu4 Zn4 Re4'
_cell_length_a 6.864
_cell_length_b 6.864
_cell_length_c 6.864
_cell_angle_alpha 90.00
_cell_angle_beta 90.00
_cell_angle_gamma 90.00
_symmetry_space_group_name_H-M 'F -4 3 m'
_symmetry_Int_Tables_number 216
_symmetry_space_group_name_Hall 'F -4 2 3'
loop_
_atom_site_label
_atom_site_type_symbol
_atom_site_fract_x
_atom_site_fract_y
_atom_site_fract_z
Er1 Er 0.000 0.000 0.000
Lu1 Lu 0.000 0.000 0.500
Zn1 Zn 0.250 0.250 0.750
Re1 Re 0.250 0.250 0.250
```

=====

Entry 13:
ErLuRh2 | PBE-GGA | optimized geometry

CIF file:
```
data_ErLuRh2
_chemical_formula_sum 'Er4 Lu4 Rh8'
_cell_length_a 6.746
_cell_length_b 6.746
_cell_length_c 6.746
_cell_angle_alpha 90.00
_cell_angle_beta 90.00
_cell_angle_gamma 90.00
_symmetry_space_group_name_H-M 'F m -3 m'
_symmetry_Int_Tables_number 225
_symmetry_space_group_name_Hall '-F 4 2 3'
loop_
_atom_site_label
_atom_site_type_symbol
_atom_site_fract_x
_atom_site_fract_y
_atom_site_fract_z
Er1 Er 0.000 0.000 0.000
Lu1 Lu 0.000 0.000 0.500
Rh1 Rh 0.250 0.250 0.250
```

=====

Sequential ΔH_f (0 K) output: 0.15; 1.51; 0.16; 0.10; 0.19; -0.13; 0.18; 0.17; 0.32; 0.73; -0.24; -0.08; -0.97 eV per atom
Sequential DFT total energy output: -9.284; -5.488; -9.277; -7.705; -6.849; -6.989; -6.834; -6.799; -3.333; -5.786; -10.057; -5.778; -6.920 eV/atom